Material: MnPdC2I
Method: DFT, SCAN
State: single point on PBEsol structure

The total DFT energy (no corrections) is -18.784 eV per atom. The space group is P4/mmm. Its crystal system is tetragonal. The calculation puts the formation energy without anion corrections at 2.810 eV per atom.

Cell and atoms, written as POSCAR:
```
MnPdC2I
1.0
4.1397 0.0000 0.0000
0.0000 4.1397 0.0000
0.0000 0.0000 4.9903
Mn Pd C I
1 1 2 1
Cartesian
0.0000 0.0000 0.0000
2.0698 2.0698 0.0000
0.0000 2.0698 2.4951
2.0698 0.0000 2.4951
0.0000 0.0000 2.4951
```